[1]
# Zn2RePb GGA-PBE relaxed
# total energy: -4.2251 eV/atom
# total magnetic moment: 0.00 μB/atom
data_Zn2RePb
_chemical_formula_sum 'Zn4 Re2 Pb2'
_cell_length_a 2.796
_cell_length_b 4.461
_cell_length_c 13.368
_cell_angle_alpha 90.00
_cell_angle_beta 90.00
_cell_angle_gamma 90.00
_space_group_name_H-M_alt 'I m m 2'
_space_group_IT_number 44
loop_
_space_group_symop_operation_xyz
'x,y,z'
'-x,-y,z'
'-x,y,z'
'x,-y,z'
'x+1/2,y+1/2,z+1/2'
'-x+1/2,-y+1/2,z+1/2'
'-x+1/2,y+1/2,z+1/2'
'x+1/2,-y+1/2,z+1/2'
loop_
_atom_site_label
_atom_site_fract_x
_atom_site_fract_y
_atom_site_fract_z
_atom_site_occupancy
Zn1 0.000 0.000 0.000 1
Zn2 0.000 0.500 0.151 1
Re1 0.000 0.500 0.666 1
Pb1 0.000 0.000 0.358 1

[2]
# MgBRu2 GGA-PBE relaxed
# total energy: -6.8186 eV/atom
# total magnetic moment: 0.21 μB/atom
data_MgBRu2
_chemical_formula_sum 'Mg2 B2 Ru4'
_cell_length_a 5.126
_cell_length_b 2.951
_cell_length_c 7.262
_cell_angle_alpha 90.00
_cell_angle_beta 103.86
_cell_angle_gamma 90.00
_space_group_name_H-M_alt 'C 1 m 1'
_space_group_IT_number 8
loop_
_space_group_symop_operation_xyz
'x,y,z'
'x,-y,z'
'x+1/2,y+1/2,z'
'x+1/2,-y+1/2,z'
loop_
_atom_site_label
_atom_site_fract_x
_atom_site_fract_y
_atom_site_fract_z
_atom_site_occupancy
Mg1 0.000 0.000 0.000 1
B1 0.167 0.000 0.500 1
Ru1 0.061 0.500 0.680 1
Ru2 0.274 0.500 0.321 1

[3]
# Cs2SrGe2 GGA-PBE relaxed
# excess energy over the best structure of this formula in the dataset: 32 meV/atom
# total magnetic moment: 0.00 μB/atom
data_Cs2SrGe2
_chemical_formula_sum 'Cs4 Sr2 Ge4'
_cell_length_a 4.983
_cell_length_b 4.983
_cell_length_c 16.039
_cell_angle_alpha 90.00
_cell_angle_beta 90.00
_cell_angle_gamma 90.00
_space_group_name_H-M_alt 'I 4/m m m'
_space_group_IT_number 139
_space_group_name_Hall '-I 4 2'
loop_
_atom_site_label
_atom_site_fract_x
_atom_site_fract_y
_atom_site_fract_z
_atom_site_occupancy
Cs1 0.000 0.500 0.250 1
Sr1 0.000 0.000 0.000 1
Ge1 0.000 0.000 0.426 1

[4]
# BeRe2W GGA-PBE relaxed
# total energy: -10.1815 eV/atom
# total magnetic moment: 0.00 μB/atom
data_BeRe2W
_chemical_formula_sum 'Be2 Re4 W2'
_cell_length_a 5.374
_cell_length_b 8.603
_cell_length_c 2.699
_cell_angle_alpha 90.00
_cell_angle_beta 113.73
_cell_angle_gamma 90.00
_space_group_name_H-M_alt 'C 1 2/m 1'
_space_group_IT_number 12
loop_
_space_group_symop_operation_xyz
'x,y,z'
'-x,-y,-z'
'-x,y,-z'
'x,-y,z'
'x+1/2,y+1/2,z'
'-x+1/2,-y+1/2,-z'
'-x+1/2,y+1/2,-z'
'x+1/2,-y+1/2,z'
loop_
_atom_site_label
_atom_site_fract_x
_atom_site_fract_y
_atom_site_fract_z
_atom_site_occupancy
Be1 0.000 0.000 0.000 1
Re1 0.250 0.250 0.500 1
W1 0.000 0.500 0.000 1

[5]
# MnSbIrRh GGA-PBE relaxed
# ΔE_f (raw): -0.145 eV/atom
# total magnetic moment: 1.24 μB/atom
data_MnSbIrRh
_chemical_formula_sum 'Mn4 Sb4 Ir4 Rh4'
_cell_length_a 6.341
_cell_length_b 6.341
_cell_length_c 6.341
_cell_angle_alpha 90.00
_cell_angle_beta 90.00
_cell_angle_gamma 90.00
_space_group_name_H-M_alt 'F -4 3 m'
_space_group_IT_number 216
_space_group_name_Hall 'F -4 2 3'
loop_
_atom_site_label
_atom_site_fract_x
_atom_site_fract_y
_atom_site_fract_z
_atom_site_occupancy
Mn1 0.000 0.000 0.000 1
Sb1 0.000 0.000 0.500 1
Ir1 0.250 0.250 0.250 1
Rh1 0.250 0.250 0.750 1

[6]
# Ca2AsAu GGA-PBE relaxed
# total energy: -3.9060 eV/atom
# total magnetic moment: 0.00 μB/atom
data_Ca2AsAu
_chemical_formula_sum 'Ca6 As3 Au3'
_cell_length_a 4.4421
_cell_length_b 4.4421
_cell_length_c 19.5894
_cell_angle_alpha 90.00
_cell_angle_beta 90.00
_cell_angle_gamma 120.00
_space_group_name_H-M_alt 'R -3 m'
_space_group_IT_number 166
_space_group_name_Hall '-R 3 2"'
loop_
_atom_site_label
_atom_site_fract_x
_atom_site_fract_y
_atom_site_fract_z
_atom_site_occupancy
Ca1 0.0000 0.0000 0.2396 1
As1 0.0000 0.0000 0.5000 1
Au1 0.0000 0.0000 0.0000 1

[7]
# Ba2LiH6Au GGA-PBE relaxed
# total energy: -3.2866 eV/atom
# total magnetic moment: 0.00 μB/atom
data_Ba2LiH6Au
_chemical_formula_sum 'Ba4 Li2 H12 Au2'
_cell_length_a 6.045
_cell_length_b 6.045
_cell_length_c 7.618
_cell_angle_alpha 90.00
_cell_angle_beta 90.00
_cell_angle_gamma 90.00
_space_group_name_H-M_alt 'I 4/m m m'
_space_group_IT_number 139
_space_group_name_Hall '-I 4 2'
loop_
_atom_site_label
_atom_site_fract_x
_atom_site_fract_y
_atom_site_fract_z
_atom_site_occupancy
Ba1 0.000 0.500 0.250 1
Li1 0.000 0.000 0.000 1
H1 0.000 0.000 0.274 1
H2 0.224 0.224 0.000 1
Au1 0.000 0.000 0.500 1

[8]
# AcGdYTh GGA-PBE relaxed
# total energy: -7.8710 eV/atom
# total magnetic moment: 1.83 μB/atom
data_AcGdYTh
_chemical_formula_sum 'Ac4 Gd4 Y4 Th4'
_cell_length_a 8.249
_cell_length_b 8.249
_cell_length_c 8.249
_cell_angle_alpha 90.00
_cell_angle_beta 90.00
_cell_angle_gamma 90.00
_space_group_name_H-M_alt 'F -4 3 m'
_space_group_IT_number 216
_space_group_name_Hall 'F -4 2 3'
loop_
_atom_site_label
_atom_site_fract_x
_atom_site_fract_y
_atom_site_fract_z
_atom_site_occupancy
Ac1 0.000 0.000 0.000 1
Gd1 0.250 0.250 0.750 1
Y1 0.250 0.250 0.250 1
Th1 0.000 0.000 0.500 1

> Which value of total magnetic moment does entry 3 give?

0.00 μB/atom